Dy2Y4Er5: relaxed, GGA-PBE.

The space group is C2/m (No. 12) and the conventional cell measures 16.271, 5.635 and 9.189 Å, with angles of 90.00, 123.78 and 90.00 degrees. The asymmetric unit holds Dy at (0.095, 0.000, 0.260), Y at (0.048, 0.500, 0.805), Y at (0.184, 0.000, 0.987), Er at (0.000, 0.000, 0.500), Er at (0.156, 0.500, 0.564) and Er at (0.215, 0.500, 0.258).

=====

CuPdAu: relaxed, GGA-PBE.

The space group is C2/m (No. 12) and the conventional cell measures 13.856, 2.925 and 4.544 Å, with angles of 90.00, 93.80 and 90.00 degrees. The asymmetric unit holds Cu at (0.062, 0.000, 0.225), Pd at (0.091, 0.500, 0.723) and Au at (0.222, 0.500, 0.245).

=====

Going through the records in order, we get ρ values of 7.19 13.26 g cm⁻³.
Going through the records in order, we get E above lowest polymorph values of 0.0 25.9 meV per atom.